Compound: La2Fe2S2O3
Source: the Alexandria database
Functional: PBE+U
Structure: optimized geometry

Calculated values
Final energy in eV/atom: -6.78

Cell lengths 9.457, 9.457, 9.457 Å; angles 155.25, 155.25, 35.28 degrees
Site moments in Bohr magnetons follow the coordinates.
Element x y z (fractional)
1 La 0.181 0.181 0.000  0.00
2 La 0.819 0.819 0.000  0.00
3 Fe 0.000 0.500 0.500  1.94
4 Fe 0.500 0.000 0.500  1.94
5 S 0.406 0.406 0.000  0.02
6 S 0.594 0.594 0.000  0.02
7 O 0.250 0.750 0.500  0.00
8 O 0.750 0.250 0.500  0.00
9 O 0.000 0.000 0.000  -0.05